PBE-GGA AgBiAsO, relaxed; SG = No. 26; electronic total energy = -17.063 eV/f.u.; energy above the most stable polymorph in this dataset = 0.211 eV per atom
1.0
4.2106 0.0000 0.0000
0.0000 6.7761 0.0000
0.0000 0.0000 6.4190
Ag Bi As O
2 2 2 2
direct
0.0000 0.1570 0.0000
0.0000 0.8430 0.5000
0.5000 0.2771 0.4195
0.5000 0.7229 0.9195
0.5000 0.3151 0.8513
0.5000 0.6849 0.3513
0.0000 0.1719 0.3745
0.0000 0.8281 0.8745


PBE-GGA Sr2Ag2BiAs, relaxed; SG = No. 187; electronic total energy = -21.763 eV/f.u.
1.0
4.7640 0.0000 0.0000
-2.3820 4.1257 0.0000
0.0000 0.0000 8.5139
Sr Ag Bi As
2 2 1 1
direct
0.0000 0.0000 0.2382
0.0000 0.0000 0.7618
0.3333 0.6667 0.0000
0.6667 0.3333 0.5000
0.3333 0.6667 0.5000
0.6667 0.3333 0.0000


Number 1: calculated volume 183.15 Å³/cell. Number 2: calculated volume 167.34 Å³/cell.